1.
A relaxed structure of Y3PbSN, computed with PBE. Values from VASP.

Quantum ESPRESSO input file:
```
&SYSTEM
  ibrav = 0, nat = 12, ntyp = 4
/
ATOMIC_SPECIES
Y 88.91 Y.upf
Pb 207.20 Pb.upf
S 32.06 S.upf
N 14.01 N.upf
ATOMIC_POSITIONS crystal
Y 0.065 0.250 0.341
Y 0.344 0.250 0.988
Y 0.383 0.750 0.656
Y 0.617 0.250 0.344
Y 0.656 0.750 0.012
Y 0.935 0.750 0.659
Pb 0.316 0.750 0.284
Pb 0.684 0.250 0.716
S 0.149 0.250 0.646
S 0.851 0.750 0.354
N 0.403 0.750 0.894
N 0.597 0.250 0.106
CELL_PARAMETERS angstrom
8.791 0.000 0.000
0.000 3.961 0.000
-2.164 0.000 8.961
```

Properties
Total moment in Bohr magnetons per cell: 0.00
Space-group type: P2_1/m (11)
DFT total energy in eV per cell: -86.4

---

2.
A relaxed structure of ZnPbSN2, computed with PBE. Values from VASP.

Quantum ESPRESSO input file:
```
&SYSTEM
  ibrav = 0, nat = 5, ntyp = 4
/
ATOMIC_SPECIES
Zn 65.41 Zn.upf
Pb 207.20 Pb.upf
S 32.06 S.upf
N 14.01 N.upf
ATOMIC_POSITIONS crystal
Zn 0.000 0.000 0.000
Pb 0.500 0.500 0.500
S 0.000 0.000 0.500
N 0.000 0.500 0.000
N 0.500 0.000 0.000
CELL_PARAMETERS angstrom
4.063 0.000 0.000
0.000 4.063 0.000
0.000 0.000 5.086
```

Properties
Total moment in Bohr magnetons per cell: 3.43
Energy relative to the lowest polymorph listed for this composition in eV per atom: 0.000
Space-group type: P4/mmm (123)
DFT total energy in eV per cell: -20.0

---

3.
A relaxed structure of ZnPbSN2, computed with PBE. Values from VASP.

Quantum ESPRESSO input file:
```
&SYSTEM
  ibrav = 0, nat = 5, ntyp = 4
/
ATOMIC_SPECIES
Zn 65.41 Zn.upf
Pb 207.20 Pb.upf
S 32.06 S.upf
N 14.01 N.upf
ATOMIC_POSITIONS crystal
Zn 0.000 0.000 0.000
Pb 0.500 0.500 0.500
S 0.500 0.500 0.000
N 0.000 0.500 0.500
N 0.500 0.000 0.500
CELL_PARAMETERS angstrom
4.409 0.000 0.000
0.000 4.409 0.000
0.000 0.000 5.609
```

Properties
Total moment in Bohr magnetons per cell: 2.90
Energy relative to the lowest polymorph listed for this composition in eV per atom: 0.501
Space-group type: P4/mmm (123)
DFT total energy in eV per cell: -17.5

---

4.
A relaxed structure of ZrPbS2N, computed with PBE. Values from VASP.

Quantum ESPRESSO input file:
```
&SYSTEM
  ibrav = 0, nat = 5, ntyp = 4
/
ATOMIC_SPECIES
Zr 91.22 Zr.upf
Pb 207.20 Pb.upf
S 32.06 S.upf
N 14.01 N.upf
ATOMIC_POSITIONS crystal
Zr 0.000 0.000 0.000
Pb 0.500 0.500 0.500
S 0.000 0.500 0.000
S 0.500 0.000 0.000
N 0.000 0.000 0.500
CELL_PARAMETERS angstrom
5.133 0.000 0.000
0.000 5.133 0.000
0.000 0.000 4.155
```

Properties
Total moment in Bohr magnetons per cell: 0.85
Energy relative to the lowest polymorph listed for this composition in eV per atom: 0.000
Space-group type: P4/mmm (123)
DFT total energy in eV per cell: -31.2

---

5.
A relaxed structure of ZrPbS2N, computed with PBE. Values from VASP.

Quantum ESPRESSO input file:
```
&SYSTEM
  ibrav = 0, nat = 5, ntyp = 4
/
ATOMIC_SPECIES
Zr 91.22 Zr.upf
Pb 207.20 Pb.upf
S 32.06 S.upf
N 14.01 N.upf
ATOMIC_POSITIONS crystal
Zr 0.000 0.000 0.000
Pb 0.500 0.500 0.500
S 0.000 0.500 0.500
S 0.500 0.000 0.500
N 0.500 0.500 0.000
CELL_PARAMETERS angstrom
5.135 0.000 0.000
0.000 5.135 0.000
0.000 0.000 4.316
```

Properties
Total moment in Bohr magnetons per cell: 0.62
Energy relative to the lowest polymorph listed for this composition in eV per atom: 1.317
Space-group type: P4/mmm (123)
DFT total energy in eV per cell: -24.6

---

6.
A relaxed structure of SbPb2N2, computed with PBE. Values from VASP.

Quantum ESPRESSO input file:
```
&SYSTEM
  ibrav = 0, nat = 5, ntyp = 3
/
ATOMIC_SPECIES
Sb 121.76 Sb.upf
Pb 207.20 Pb.upf
N 14.01 N.upf
ATOMIC_POSITIONS crystal
Sb 0.000 0.000 0.000
Pb 0.497 0.497 0.845
Pb 0.503 0.503 0.155
N 0.097 0.097 0.488
N 0.903 0.903 0.512
CELL_PARAMETERS angstrom
2.798 -2.855 0.000
2.798 2.855 0.000
-0.122 0.000 10.535
```

Properties
Total moment in Bohr magnetons per cell: 0.00
Space-group type: C2/m (12)
DFT total energy in eV per cell: -27.7

---

7.
A relaxed structure of SbPb3N, computed with PBE. Values from VASP.

Quantum ESPRESSO input file:
```
&SYSTEM
  ibrav = 0, nat = 5, ntyp = 3
/
ATOMIC_SPECIES
Sb 121.76 Sb.upf
Pb 207.20 Pb.upf
N 14.01 N.upf
ATOMIC_POSITIONS crystal
Sb 0.000 0.000 0.000
Pb 0.000 0.000 0.500
Pb 0.000 0.500 0.000
Pb 0.500 0.000 0.000
N 0.500 0.500 0.500
CELL_PARAMETERS angstrom
5.883 0.000 0.000
0.000 5.883 0.000
0.000 0.000 5.883
```

Properties
Total moment in Bohr magnetons per cell: 0.00
Energy relative to the lowest polymorph listed for this composition in eV per atom: 1.416
Space-group type: Pm-3m (221)
DFT total energy in eV per cell: -15.1

---

8.
A relaxed structure of SbPb3N, computed with PBE. Values from VASP.

Quantum ESPRESSO input file:
```
&SYSTEM
  ibrav = 0, nat = 5, ntyp = 3
/
ATOMIC_SPECIES
Sb 121.76 Sb.upf
Pb 207.20 Pb.upf
N 14.01 N.upf
ATOMIC_POSITIONS crystal
Sb 0.000 0.000 0.000
Pb 0.000 0.500 0.500
Pb 0.500 0.000 0.500
Pb 0.500 0.500 0.000
N 0.500 0.500 0.500
CELL_PARAMETERS angstrom
5.098 0.000 0.000
0.000 5.098 0.000
0.000 0.000 5.098
```

Properties
Total moment in Bohr magnetons per cell: 0.00
Energy relative to the lowest polymorph listed for this composition in eV per atom: 0.137
Space-group type: Pm-3m (221)
DFT total energy in eV per cell: -21.5

---

9.
A relaxed structure of SbPbN, computed with PBE. Values from VASP.

Quantum ESPRESSO input file:
```
&SYSTEM
  ibrav = 0, nat = 6, ntyp = 3
/
ATOMIC_SPECIES
Sb 121.76 Sb.upf
Pb 207.20 Pb.upf
N 14.01 N.upf
ATOMIC_POSITIONS crystal
Sb 0.231 0.250 0.395
Sb 0.769 0.750 0.605
Pb 0.240 0.250 0.921
Pb 0.760 0.750 0.079
N 0.013 0.250 0.637
N 0.987 0.750 0.363
CELL_PARAMETERS angstrom
5.064 0.000 0.000
0.000 3.555 0.000
-0.103 0.000 7.800
```

Properties
Total moment in Bohr magnetons per cell: 0.00
Energy relative to the lowest polymorph listed for this composition in eV per atom: 0.005
Space-group type: P2_1/m (11)
DFT total energy in eV per cell: -29.9

---

10.
A relaxed structure of Sb3Pb5N2, computed with PBE. Values from VASP.

Quantum ESPRESSO input file:
```
&SYSTEM
  ibrav = 0, nat = 20, ntyp = 3
/
ATOMIC_SPECIES
Sb 121.76 Sb.upf
Pb 207.20 Pb.upf
N 14.01 N.upf
ATOMIC_POSITIONS crystal
Sb 0.140 0.860 0.750
Sb 0.177 0.559 0.069
Sb 0.441 0.823 0.431
Sb 0.559 0.177 0.569
Sb 0.823 0.441 0.931
Sb 0.860 0.140 0.250
Pb 0.030 0.204 0.947
Pb 0.152 0.459 0.400
Pb 0.204 0.030 0.447
Pb 0.379 0.621 0.750
Pb 0.459 0.152 0.900
Pb 0.541 0.848 0.100
Pb 0.621 0.379 0.250
Pb 0.796 0.970 0.553
Pb 0.848 0.541 0.600
Pb 0.970 0.796 0.053
N 0.121 0.630 0.634
N 0.370 0.879 0.866
N 0.630 0.121 0.134
N 0.879 0.370 0.366
CELL_PARAMETERS angstrom
5.611 -6.790 0.000
5.611 6.790 0.000
-1.824 0.000 8.339
```

Properties
Total moment in Bohr magnetons per cell: 0.00
Space-group type: C2/c (15)
DFT total energy in eV per cell: -88.1

---

11.
A relaxed structure of SbPbN, computed with PBE. Values from VASP.

Quantum ESPRESSO input file:
```
&SYSTEM
  ibrav = 0, nat = 3, ntyp = 3
/
ATOMIC_SPECIES
Sb 121.76 Sb.upf
Pb 207.20 Pb.upf
N 14.01 N.upf
ATOMIC_POSITIONS crystal
Sb 0.000 0.000 0.000
Pb 0.260 0.260 0.498
N 0.394 0.394 0.999
CELL_PARAMETERS angstrom
6.270 -1.658 0.000
6.270 1.658 0.000
-0.009 0.000 3.495
```

Properties
Total moment in Bohr magnetons per cell: 0.00
Energy relative to the lowest polymorph listed for this composition in eV per atom: 0.000
Space-group type: Cm (8)
DFT total energy in eV per cell: -15.0

---

12.
A relaxed structure of SbPb3N, computed with PBE. Values from VASP.

Quantum ESPRESSO input file:
```
&SYSTEM
  ibrav = 0, nat = 10, ntyp = 3
/
ATOMIC_SPECIES
Sb 121.76 Sb.upf
Pb 207.20 Pb.upf
N 14.01 N.upf
ATOMIC_POSITIONS crystal
Sb 0.149 0.181 0.181
Sb 0.851 0.819 0.819
Pb 0.217 0.636 0.568
Pb 0.240 0.618 0.091
Pb 0.265 0.114 0.785
Pb 0.735 0.886 0.215
Pb 0.760 0.382 0.909
Pb 0.783 0.364 0.432
N 0.017 0.355 0.670
N 0.983 0.645 0.330
CELL_PARAMETERS angstrom
5.446 0.000 0.000
0.137 7.483 0.000
0.502 1.821 7.540
```

Properties
Total moment in Bohr magnetons per cell: 0.00
Energy relative to the lowest polymorph listed for this composition in eV per atom: 0.000
Space-group type: P-1 (2)
DFT total energy in eV per cell: -44.4

---

13.
A relaxed structure of Sb4PbN2, computed with PBE. Values from VASP.

Quantum ESPRESSO input file:
```
&SYSTEM
  ibrav = 0, nat = 7, ntyp = 3
/
ATOMIC_SPECIES
Sb 121.76 Sb.upf
Pb 207.20 Pb.upf
N 14.01 N.upf
ATOMIC_POSITIONS crystal
Sb 0.001 0.000 0.151
Sb 0.001 0.500 0.658
Sb 0.999 0.000 0.849
Sb 0.999 0.500 0.342
Pb 0.000 0.500 0.000
N 0.498 0.000 0.558
N 0.502 0.000 0.442
CELL_PARAMETERS angstrom
3.122 0.000 0.000
0.000 6.178 0.000
-0.038 0.000 9.621
```

Properties
Total moment in Bohr magnetons per cell: 0.00
Space-group type: P2/m (10)
DFT total energy in eV per cell: -35.2